9
Lattice="4.659 0.000 0.000 0.000 5.698 0.000 0.000 -2.849 4.935" Properties=species:S:1:pos:R:3 comment="SmCdWO6 GGA+U optimized geometry" sg=P312 total_energy_ev_per_cell=-60.088 pbc="T T T"
O 1.261 -2.006 3.529
O 3.398 2.006 3.529
O 1.261 1.210 4.907
O 3.398 -0.795 1.433
O 1.261 0.795 1.433
O 3.398 -1.210 4.907
Cd 0.000 0.000 3.290
Sm 2.330 2.849 1.645
W 2.330 0.000 0.000